The following is a DFT calculation (GGA-PBE) of a relaxed Mg8In3Ga3 crystal.

## Properties
The calculation puts the uncorrected energy at -2.14 eV per atom. Its formation energy is 7 meV per atom.

The structure in POSCAR format:
```
Mg8In3Ga3
1.0
-0.604 2.322 -3.507
-9.109 0.700 -0.643
-2.269 8.277 3.197
Mg In Ga
8 3 3
direct
0.116 0.529 0.243
0.116 0.243 0.529
0.884 0.757 0.471
0.335 0.322 0.004
0.665 0.996 0.678
0.665 0.678 0.996
0.335 0.004 0.322
0.884 0.471 0.757
0.733 0.268 0.268
0.500 0.500 0.500
0.267 0.732 0.732
0.500 0.000 0.000
0.000 0.855 0.145
0.000 0.145 0.855
```